! BeReIO2 | Alexandria via LeMat-Bulk | PBE | relaxed; values from VASP
! * energy above the lowest structure with this stoichiometry: 0 meV/atom
! * symmetry: No. 123
&SYSTEM
  ibrav = 0, nat = 5, ntyp = 4
/
ATOMIC_SPECIES
Be 9.01 Be.upf
Re 186.21 Re.upf
I 126.90 I.upf
O 16.00 O.upf
CELL_PARAMETERS angstrom
3.788 0.000 0.000
0.000 3.788 0.000
0.000 0.000 6.416
ATOMIC_POSITIONS crystal
Be 0.000 0.000 0.000
Re 0.500 0.500 0.500
I 0.500 0.500 0.000
O 0.000 0.500 0.500
O 0.500 0.000 0.500

! BeReI2O | Alexandria via LeMat-Bulk | PBE | relaxed; values from VASP
! * energy above the lowest structure with this stoichiometry: 53 meV/atom
! * symmetry: No. 123
&SYSTEM
  ibrav = 0, nat = 5, ntyp = 4
/
ATOMIC_SPECIES
Be 9.01 Be.upf
Re 186.21 Re.upf
I 126.90 I.upf
O 16.00 O.upf
CELL_PARAMETERS angstrom
5.561 0.000 0.000
0.000 5.561 0.000
0.000 0.000 3.758
ATOMIC_POSITIONS crystal
Be 0.000 0.000 0.000
Re 0.500 0.500 0.500
I 0.000 0.500 0.500
I 0.500 0.000 0.500
O 0.500 0.500 0.000

! BeRhIO2 | Alexandria via LeMat-Bulk | PBE | relaxed; values from VASP
! * energy above the lowest structure with this stoichiometry: 38 meV/atom
! * symmetry: No. 123
&SYSTEM
  ibrav = 0, nat = 5, ntyp = 4
/
ATOMIC_SPECIES
Be 9.01 Be.upf
Rh 102.91 Rh.upf
I 126.90 I.upf
O 16.00 O.upf
CELL_PARAMETERS angstrom
3.745 0.000 0.000
0.000 3.745 0.000
0.000 0.000 7.759
ATOMIC_POSITIONS crystal
Be 0.000 0.000 0.000
Rh 0.500 0.500 0.500
I 0.500 0.500 0.000
O 0.000 0.500 0.500
O 0.500 0.000 0.500

no.,total energy (eV per atom)
1,-5.826
2,-4.487
3,-4.442